Material: ZnInPd4
Method: DFT, PBE-GGA
State: optimized geometry

Unit cell a=4.2376 b=4.2376 c=6.1384 alpha=90.00 beta=90.00 gamma=90.00
Positions (direct):
Zn 0.0000 0.0000 0.0000
In 0.5000 0.5000 0.5000
Pd 0.0000 0.5000 0.2331
Pd 0.0000 0.5000 0.7669
Pd 0.5000 0.0000 0.2331
Pd 0.5000 0.0000 0.7669

Results
Volume: 110.2 Å³/f.u.
Energy: -4.370 eV/atom
Energy relative to the elements: -0.239 eV per atom